Ba2CaSc2 | PBE | relaxed

Structure (POSCAR):
```
Ba2CaSc2
1.0
9.9965 0.0000 0.0000
0.0000 9.9965 0.0000
0.0000 0.0000 3.8576
Ba Ca Sc
4 2 4
direct
0.1298 0.3703 0.0000
0.3703 0.8702 0.0000
0.6298 0.1298 0.0000
0.8702 0.6298 0.0000
0.0000 0.0000 0.0000
0.5000 0.5000 0.0000
0.1711 0.6711 0.5000
0.3289 0.1711 0.5000
0.6711 0.8289 0.5000
0.8289 0.3289 0.5000
```

## Properties
SG = P4/mbm (127)
ΔE to the lowest computed polymorph = 119 meV/atom
Spin magnetization = 0.00 μB per formula unit